# 1
Pm3Sm6Tl | PBE-GGA | optimized geometry

Unit cell a=6.2625 b=11.0857 c=11.0857 alpha=119.78 beta=90.00 gamma=90.00
With the nearest neighbours (Å) after each atom.
Sites, in units of the cell vectors:
1 Pm 0.4524 0.9436 0.7318  1 Tl 3.36, 6 Sm 3.39-3.66, 1 Pm 3.61
2 Pm 0.9524 0.7318 0.9436  1 Tl 3.36, 6 Sm 3.39-3.66, 1 Pm 3.61
3 Pm 0.0585 0.3925 0.6075  5 Sm 3.33-3.67, 1 Tl 3.44
4 Pm 0.5585 0.6075 0.3925  5 Sm 3.33-3.67, 1 Tl 3.44
5 Pm 0.9524 0.0564 0.2682  1 Tl 3.36, 6 Sm 3.39-3.66, 1 Pm 3.61
6 Pm 0.4524 0.2682 0.0564  1 Tl 3.36, 6 Sm 3.39-3.66, 1 Pm 3.61
7 Sm 0.0374 0.7112 0.6122  4 Pm 3.43-3.67, 5 Sm 3.44-3.82
8 Sm 0.5374 0.6122 0.7112  4 Pm 3.43-3.67, 5 Sm 3.44-3.82
9 Sm 0.3467 0.5241 0.9484  2 Tl 3.22-3.49, 5 Sm 3.33-3.46, 1 Pm 3.39
10 Sm 0.8467 0.9484 0.5241  2 Tl 3.22-3.49, 5 Sm 3.33-3.46, 1 Pm 3.39
11 Sm 0.4358 0.9402 0.0598  1 Tl 3.27, 4 Pm 3.63-3.66
12 Sm 0.6698 0.2739 0.7261  2 Tl 3.20-3.45, 4 Sm 3.33-3.35, 1 Pm 3.33
13 Sm 0.1698 0.7261 0.2739  2 Tl 3.20-3.45, 4 Sm 3.33-3.35, 1 Pm 3.33
14 Sm 0.9358 0.0598 0.9402  1 Tl 3.27, 4 Pm 3.63-3.66
15 Sm 0.3467 0.0516 0.4759  2 Tl 3.22-3.49, 5 Sm 3.33-3.46, 1 Pm 3.39
16 Sm 0.8467 0.4759 0.0516  2 Tl 3.22-3.49, 5 Sm 3.33-3.46, 1 Pm 3.39
17 Sm 0.0374 0.3878 0.2888  4 Pm 3.43-3.67, 5 Sm 3.44-3.82
18 Sm 0.5374 0.2888 0.3878  4 Pm 3.43-3.67, 5 Sm 3.44-3.82
19 Tl 0.1484 0.2157 0.7843  7 Sm 3.20-3.49, 3 Pm 3.36-3.44
20 Tl 0.6484 0.7843 0.2157  7 Sm 3.20-3.49, 3 Pm 3.36-3.44

Output
energy above the most stable polymorph in this dataset	15	meV per atom
DOS at the Fermi energy	1.618	states/eV per atom
size of the total moment	0.000	μB per formula unit
DFT formation energy	0.54	kcal/mol of atoms

=====

# 2
LiDy2C | PBE-GGA | optimized geometry

Unit cell a=3.5133 b=3.5133 c=9.6023 alpha=79.46 beta=79.46 gamma=60.00
With the nearest neighbours (Å) after each atom.
Sites, in units of the cell vectors:
1 C 0.5000 0.5000 0.5000  6 Dy 2.44
2 Li 0.0000 0.0000 0.0000  2 Dy 3.34, 6 Li 3.51
3 Dy 0.1187 0.1187 0.6440  3 C 2.44
4 Dy 0.8813 0.8813 0.3560  3 C 2.44

Output
energy above the most stable polymorph in this dataset	0	meV per atom
DOS at the Fermi energy	0.720	states/eV per atom
size of the total moment	0.000	μB per formula unit
DFT formation energy	-2.26	kcal/mol of atoms

=====

# 3
LiSm2GeSe5 | PBE-GGA | optimized geometry

Unit cell a=4.1740 b=9.0444 c=11.7036 alpha=90.00 beta=90.00 gamma=103.34
With the nearest neighbours (Å) after each atom.
Sites, in units of the cell vectors:
1 Li 0.7854 0.5708 0.5203  3 Se 2.57-2.71
2 Li 0.2146 0.4292 0.0203  3 Se 2.57-2.71
3 Sm 0.8685 0.7369 0.8040  8 Se 2.95-3.22
4 Sm 0.1208 0.2416 0.6807  8 Se 3.01-3.18
5 Sm 0.1315 0.2631 0.3040  8 Se 2.95-3.22
6 Sm 0.8792 0.7584 0.1807  8 Se 3.01-3.18
7 Ge 0.5696 0.1392 0.9617  4 Se 2.48-2.49
8 Ge 0.4304 0.8608 0.4617  4 Se 2.48-2.49
9 Se 0.3596 0.7191 0.9978  1 Li 2.57
10 Se 0.6876 0.3752 0.8447  1 Ge 2.49
11 Se 0.5005 0.0011 0.7766  1 Ge 2.48
12 Se 0.2919 0.5839 0.6681  2 Li 2.71, 3 Sm 2.95-3.02
13 Se 0.9561 0.9121 0.5703  2 Ge 2.48
14 Se 0.6404 0.2809 0.4978  1 Li 2.57
15 Se 0.3124 0.6248 0.3447  1 Ge 2.49
16 Se 0.4995 0.9989 0.2766  1 Ge 2.48
17 Se 0.7081 0.4161 0.1681  2 Li 2.71, 3 Sm 2.95-3.02
18 Se 0.0439 0.0879 0.0703  2 Ge 2.48

Output
DOS at the Fermi energy	0.109	states/eV per atom
energy relative to the elements, uncorrected	-1282	meV/atom
size of the total moment	0.000	μB per formula unit

=====

# 4
Zn4NiPd5 | PBE-GGA | optimized geometry

Unit cell a=2.9110 b=2.9110 c=16.8519 alpha=90.00 beta=90.00 gamma=90.00
With the nearest neighbours (Å) after each atom.
Sites, in units of the cell vectors:
1 Zn 0.0000 0.0000 0.1948  8 Pd 2.63-2.68, 4 Zn 2.91
2 Zn 0.0000 0.0000 0.3984  8 Pd 2.67-2.68, 4 Zn 2.91
3 Zn 0.0000 0.0000 0.6016  8 Pd 2.67-2.68, 4 Zn 2.91
4 Zn 0.0000 0.0000 0.8052  8 Pd 2.63-2.68, 4 Zn 2.91
5 Ni 0.0000 0.0000 0.0000  8 Pd 2.63, 4 Ni 2.91
6 Pd 0.5000 0.5000 0.0973  4 Ni 2.63, 4 Zn 2.63, 4 Pd 2.91
7 Pd 0.5000 0.5000 0.2971  8 Zn 2.67-2.68, 4 Pd 2.91
8 Pd 0.5000 0.5000 0.5000  8 Zn 2.68, 4 Pd 2.91
9 Pd 0.5000 0.5000 0.7029  8 Zn 2.67-2.68, 4 Pd 2.91
10 Pd 0.5000 0.5000 0.9027  4 Ni 2.63, 4 Zn 2.63, 4 Pd 2.91

Output
DOS at the Fermi energy	0.709	states/eV per atom
size of the total moment	0.617	μB per formula unit
DFT formation energy	-9.96	kcal/mol of atoms

=====

# 5
TcCS2 | PBE-GGA | optimized geometry

Unit cell a=4.9576 b=4.9576 c=5.7780 alpha=64.60 beta=64.60 gamma=90.00
With the nearest neighbours (Å) after each atom.
Sites, in units of the cell vectors:
1 C 0.5000 0.5000 0.0000  4 S 1.95
2 C 0.2500 0.7500 0.5000  4 S 1.95
3 S 0.5731 0.1250 0.2500  2 C 1.95
4 S 0.1769 0.6250 0.2500  2 C 1.95
5 S 0.3750 0.4269 0.7500  2 C 1.95
6 S 0.8750 0.8231 0.7500  2 C 1.95
7 Tc 0.0000 0.0000 0.0000  4 S 2.26
8 Tc 0.7500 0.2500 0.5000  4 S 2.26

Output
DOS at the Fermi energy	0.657	states/eV per atom
energy relative to the elements, uncorrected	841	meV/atom
size of the total moment	0.000	μB per formula unit

=====

# 6
TaCI2N | PBE-GGA | optimized geometry

Unit cell a=6.4999 b=6.4999 c=2.6840 alpha=90.00 beta=90.00 gamma=90.00
With the nearest neighbours (Å) after each atom.
Sites, in units of the cell vectors:
1 I 0.0000 0.5000 0.0000  2 I 2.68
2 I 0.5000 0.0000 0.0000  2 I 2.68
3 C 0.0000 0.0000 0.0000  2 N 1.34
4 N 0.0000 0.0000 0.5000  2 C 1.34
5 Ta 0.5000 0.5000 0.5000  2 Ta 2.68

Output
energy above the most stable polymorph in this dataset	279	meV per atom
DOS at the Fermi energy	0.796	states/eV per atom
energy relative to the elements, uncorrected	1662	meV/atom
size of the total moment	1.715	μB per formula unit